First-principles (meta-GGA SCAN) data for YScSi at its PBEsol-relaxed geometry, as listed in the Alexandria database.

Cell: 4.7311 4.7311 4.7311 Å, 60.00 60.00 60.00°
With the nearest neighbours (Å) after each atom.
Sites, in units of the cell vectors:
Y1 0.2500 0.2500 0.2500  4 Sc 2.90, 4 Si 2.90
Sc1 0.0000 0.0000 0.0000  4 Y 2.90
Si1 0.5000 0.5000 0.5000  4 Y 2.90

Values from the calculation:
E ... -50.70 eV per cell
Total magnetization ... 1.94 μB/f.u.
Uncorrected formation energy ... 465 meV/atom
E above lowest polymorph ... 0.997 eV per atom
V ... 25.0 Å³/atom

=====

First-principles (meta-GGA SCAN) data for BeZnPb2 at its PBEsol-relaxed geometry, as listed in the Alexandria database.

Cell: 4.8945 4.9659 4.8945 Å, 60.47 90.00 119.53°
With the nearest neighbours (Å) after each atom.
Sites, in units of the cell vectors:
Pb1 0.7500 0.5000 0.7500  4 Zn 3.03, 4 Be 3.03
Pb2 0.2500 0.5000 0.2500  4 Be 3.03, 4 Zn 3.03
Zn1 0.5000 0.0000 0.5000  8 Pb 3.03
Be1 0.0000 0.0000 0.0000  8 Pb 3.03

Values from the calculation:
E ... -167.28 eV per cell
ΔE_f ... 12.39 kcal/mol of atoms
Total magnetization ... 0.00 μB/f.u.
E above lowest polymorph ... 0.235 eV per atom
V ... 21.3 Å³/atom

=====

First-principles (meta-GGA SCAN) data for Y2PtPb at its PBEsol-relaxed geometry, as listed in the Alexandria database.

Cell: 3.8762 3.8678 8.5030 Å, 103.27 90.00 120.07°
With the nearest neighbours (Å) after each atom.
Sites, in units of the cell vectors:
Pb1 0.0000 0.0000 0.5000  6 Y 3.32
Pt1 0.5000 0.0000 0.0000  6 Y 2.78
Y1 0.2337 0.4674 0.2011  3 Pt 2.78
Y2 0.7663 0.5326 0.7989  3 Pt 2.78

Values from the calculation:
E ... -205.58 eV per cell
ΔE_f ... -22.60 kcal/mol of atoms
Total magnetization ... 0.00 μB/f.u.
V ... 26.6 Å³/atom

=====

First-principles (meta-GGA SCAN) data for Ba2ZrCu at its PBEsol-relaxed geometry, as listed in the Alexandria database.

Cell: 3.6469 5.6624 6.9237 Å, 114.14 105.27 90.00°
With the nearest neighbours (Å) after each atom.
Sites, in units of the cell vectors:
Ba1 0.0116 0.0116 0.0233  4 Cu 3.42, 4 Ba 3.65-3.76, 2 Zr 3.73-3.74
Ba2 0.2156 0.7157 0.4312  4 Zr 3.56, 2 Cu 3.56, 4 Ba 3.65-3.76
Cu1 0.4624 0.4623 0.9249  2 Zr 2.59
Zr1 0.8103 0.3105 0.6207  2 Cu 2.59

Values from the calculation:
E ... -123.37 eV per cell
ΔE_f ... 9.40 kcal/mol of atoms
Total magnetization ... 0.00 μB/f.u.
E above lowest polymorph ... 0.000 eV per atom
V ... 31.2 Å³/atom

=====

First-principles (meta-GGA SCAN) data for Cs3TaTc at its PBEsol-relaxed geometry, as listed in the Alexandria database.

Cell: 6.8345 6.8345 6.8345 Å, 90.00 90.00 90.00°
With the nearest neighbours (Å) after each atom.
Sites, in units of the cell vectors:
Tc1 0.5000 0.5000 0.5000  12 Cs 4.83
Cs1 0.0000 0.5000 0.0000  2 Ta 3.42
Cs2 0.5000 0.0000 0.0000  2 Ta 3.42
Cs3 0.0000 0.0000 0.5000  2 Ta 3.42
Ta1 0.0000 0.0000 0.0000  6 Cs 3.42

Values from the calculation:
E ... -203.65 eV per cell
ΔE_f ... 52.70 kcal/mol of atoms
Total magnetization ... 9.34 μB/f.u.
V ... 63.8 Å³/atom

=====

First-principles (meta-GGA SCAN) data for Ba2Na2B10H2O19 at its PBEsol-relaxed geometry, as listed in the Alexandria database.

Cell: 6.6496 6.6496 9.2722 Å, 86.65 86.65 60.38°
With the nearest neighbours (Å) after each atom.
Sites, in units of the cell vectors:
O1 0.3076 0.5643 0.1514  2 B 1.39-1.48
O2 0.0753 0.7809 0.7616  2 B 1.38-1.50
O3 0.4357 0.6924 0.8486  2 B 1.39-1.48
O4 0.6135 0.6843 0.6138  2 B 1.38-1.50
O5 0.5369 0.1484 0.1812  2 B 1.47-1.48, 1 H 1.64
O6 0.3157 0.3865 0.3862  2 B 1.38-1.50
O7 0.1256 0.3306 0.1860  2 B 1.46
O8 0.8041 0.9136 0.5709  2 B 1.37-1.51
O9 0.0864 0.1959 0.4291  2 B 1.37-1.51
O10 0.8240 0.2400 0.2513  2 B 1.45-1.47
O11 0.7341 0.2659 0.0000  2 B 1.46
O12 0.1130 0.0738 0.8760  2 B 1.36-1.50
O13 0.2191 0.9247 0.2384  2 B 1.38-1.50
O14 0.1795 0.3609 0.6194  1 H 1.02
O15 0.8516 0.4631 0.8188  2 B 1.47-1.48, 1 H 1.64
O16 0.6391 0.8205 0.3806  1 H 1.02
O17 0.6694 0.8744 0.8140  2 B 1.46
O18 0.7600 0.1760 0.7487  2 B 1.45-1.47
O19 0.9262 0.8870 0.1240  2 B 1.36-1.50
B1 0.6882 0.8084 0.5240  3 O 1.37-1.38
B2 0.8242 0.9366 0.7298  4 O 1.45-1.51
B3 0.6449 0.6783 0.7733  4 O 1.46-1.50
B4 0.2055 0.8557 0.8274  3 O 1.36-1.39
B5 0.7587 0.1401 0.1379  4 O 1.46-1.50
B6 0.1916 0.3118 0.4760  3 O 1.37-1.38
B7 0.3217 0.3551 0.2267  4 O 1.46-1.50
B8 0.1443 0.7945 0.1726  3 O 1.36-1.39
B9 0.8599 0.2413 0.8621  4 O 1.46-1.50
B10 0.0634 0.1758 0.2702  4 O 1.45-1.51
Na1 0.6974 0.3026 0.5000  6 O 2.38-2.59
Na2 0.2134 0.7866 0.5000  6 O 2.48-2.67
H1 0.0378 0.3861 0.6814  1 O 1.02
H2 0.6139 0.9622 0.3186  1 O 1.02
Ba1 0.6757 0.6627 0.1063  11 O 2.71-3.00, 1 H 2.75
Ba2 0.3373 0.3243 0.8937  11 O 2.71-3.00, 1 H 2.75

Values from the calculation:
E ... -379.02 eV per cell
Total magnetization ... 0.00 μB/f.u.
V ... 10.2 Å³/atom

=====

First-principles (meta-GGA SCAN) data for Sr2AlSnS at its PBEsol-relaxed geometry, as listed in the Alexandria database.

Cell: 4.9840 6.2692 6.2692 Å, 90.00 90.00 90.00°
With the nearest neighbours (Å) after each atom.
Sites, in units of the cell vectors:
Al1 0.5000 0.5000 0.5000  8 Sr 4.00, 4 S 4.43
Sr1 0.0000 0.0000 0.5000  2 Sn 3.13
Sr2 0.0000 0.5000 0.0000  2 Sn 3.13
S1 0.5000 0.0000 0.0000  2 Sn 2.49
Sn1 0.0000 0.0000 0.0000  2 S 2.49

Values from the calculation:
E ... -96.90 eV per cell
Total magnetization ... 1.70 μB/f.u.
Uncorrected formation energy ... 190 meV/atom
V ... 39.2 Å³/atom

=====

First-principles (meta-GGA SCAN) data for CaCd2P at its PBEsol-relaxed geometry, as listed in the Alexandria database.

Cell: 3.6335 3.6335 6.6097 Å, 90.00 90.00 90.00°
With the nearest neighbours (Å) after each atom.
Sites, in units of the cell vectors:
P1 0.0000 0.0000 0.4720  5 Cd 2.84-2.91, 4 Ca 3.05
Ca1 0.5000 0.5000 0.7192  5 Cd 2.99-3.34, 4 P 3.05
Cd1 0.0000 0.0000 0.0424  1 P 2.84, 4 Cd 2.97
Cd2 0.5000 0.5000 0.2664  4 P 2.91, 4 Cd 2.97, 1 Ca 2.99

Values from the calculation:
E ... -82.00 eV per cell
ΔE_f ... -6.40 kcal/mol of atoms
Total magnetization ... 0.00 μB/f.u.
V ... 21.8 Å³/atom

=====

What did the second record say?
First-principles (meta-GGA SCAN) data for BeZnPb2 at its PBEsol-relaxed geometry, as listed in the Alexandria database.

Cell: 4.8945 4.9659 4.8945 Å, 60.47 90.00 119.53°
With the nearest neighbours (Å) after each atom.
Sites, in units of the cell vectors:
Pb1 0.7500 0.5000 0.7500  4 Zn 3.03, 4 Be 3.03
Pb2 0.2500 0.5000 0.2500  4 Be 3.03, 4 Zn 3.03
Zn1 0.5000 0.0000 0.5000  8 Pb 3.03
Be1 0.0000 0.0000 0.0000  8 Pb 3.03

Values from the calculation:
E ... -167.28 eV per cell
ΔE_f ... 12.39 kcal/mol of atoms
Total magnetization ... 0.00 μB/f.u.
E above lowest polymorph ... 0.235 eV per atom
V ... 21.3 Å³/atom

=====

What did the sixth record say?
First-principles (meta-GGA SCAN) data for Ba2Na2B10H2O19 at its PBEsol-relaxed geometry, as listed in the Alexandria database.

Cell: 6.6496 6.6496 9.2722 Å, 86.65 86.65 60.38°
With the nearest neighbours (Å) after each atom.
Sites, in units of the cell vectors:
O1 0.3076 0.5643 0.1514  2 B 1.39-1.48
O2 0.0753 0.7809 0.7616  2 B 1.38-1.50
O3 0.4357 0.6924 0.8486  2 B 1.39-1.48
O4 0.6135 0.6843 0.6138  2 B 1.38-1.50
O5 0.5369 0.1484 0.1812  2 B 1.47-1.48, 1 H 1.64
O6 0.3157 0.3865 0.3862  2 B 1.38-1.50
O7 0.1256 0.3306 0.1860  2 B 1.46
O8 0.8041 0.9136 0.5709  2 B 1.37-1.51
O9 0.0864 0.1959 0.4291  2 B 1.37-1.51
O10 0.8240 0.2400 0.2513  2 B 1.45-1.47
O11 0.7341 0.2659 0.0000  2 B 1.46
O12 0.1130 0.0738 0.8760  2 B 1.36-1.50
O13 0.2191 0.9247 0.2384  2 B 1.38-1.50
O14 0.1795 0.3609 0.6194  1 H 1.02
O15 0.8516 0.4631 0.8188  2 B 1.47-1.48, 1 H 1.64
O16 0.6391 0.8205 0.3806  1 H 1.02
O17 0.6694 0.8744 0.8140  2 B 1.46
O18 0.7600 0.1760 0.7487  2 B 1.45-1.47
O19 0.9262 0.8870 0.1240  2 B 1.36-1.50
B1 0.6882 0.8084 0.5240  3 O 1.37-1.38
B2 0.8242 0.9366 0.7298  4 O 1.45-1.51
B3 0.6449 0.6783 0.7733  4 O 1.46-1.50
B4 0.2055 0.8557 0.8274  3 O 1.36-1.39
B5 0.7587 0.1401 0.1379  4 O 1.46-1.50
B6 0.1916 0.3118 0.4760  3 O 1.37-1.38
B7 0.3217 0.3551 0.2267  4 O 1.46-1.50
B8 0.1443 0.7945 0.1726  3 O 1.36-1.39
B9 0.8599 0.2413 0.8621  4 O 1.46-1.50
B10 0.0634 0.1758 0.2702  4 O 1.45-1.51
Na1 0.6974 0.3026 0.5000  6 O 2.38-2.59
Na2 0.2134 0.7866 0.5000  6 O 2.48-2.67
H1 0.0378 0.3861 0.6814  1 O 1.02
H2 0.6139 0.9622 0.3186  1 O 1.02
Ba1 0.6757 0.6627 0.1063  11 O 2.71-3.00, 1 H 2.75
Ba2 0.3373 0.3243 0.8937  11 O 2.71-3.00, 1 H 2.75

Values from the calculation:
E ... -379.02 eV per cell
Total magnetization ... 0.00 μB/f.u.
V ... 10.2 Å³/atom